(1)
Here is a geometry-optimized Tb6Sm12Th structure from Alexandria via LeMat-Bulk. Energies are from PBE.

Output
total energy	-4.7058	eV/atom
ΔH_f (0 K)	0.13	eV per atom

Cell lengths 8.7695, 8.7695, 8.7695 Å; angles 98.25, 98.25, 98.25 degrees
Fractional positions:
Tb1 0.0957 0.3603 0.3603
Tb2 0.3603 0.0957 0.3603
Tb3 0.3603 0.3603 0.0957
Tb4 0.6397 0.6397 0.9042
Tb5 0.6397 0.9043 0.6397
Tb6 0.9043 0.6397 0.6397
Sm1 0.0859 0.0859 0.6701
Sm2 0.0859 0.6701 0.0859
Sm3 0.2371 0.5000 0.7629
Sm4 0.2371 0.7629 0.5000
Sm5 0.3299 0.9141 0.9141
Sm6 0.5000 0.2371 0.7629
Sm7 0.5000 0.7629 0.2371
Sm8 0.6701 0.0859 0.0859
Sm9 0.7629 0.2371 0.5000
Sm10 0.7629 0.5000 0.2371
Sm11 0.9141 0.3299 0.9141
Sm12 0.9141 0.9141 0.3299
Th1 0.5000 0.5000 0.5000



(2)
Here is a geometry-optimized NpCu2Hg2O6 structure from Alexandria via LeMat-Bulk. Energies are from PBE.

Output
total energy	-5.8067	eV/atom
raw formation energy	-1126	meV per atom

Cell lengths 5.4463, 5.4463, 7.2977 Å; angles 97.50, 97.50, 121.03 degrees
Fractional positions:
Np1 0.0000 0.0000 0.0000
Cu1 0.3348 0.6652 0.0000
Cu2 0.6652 0.3348 0.0000
Hg1 0.2807 0.7193 0.5000
Hg2 0.7193 0.2807 0.5000
O1 0.0198 0.7042 0.1455
O2 0.2958 0.9802 0.8545
O3 0.3565 0.3565 0.1717
O4 0.6435 0.6435 0.8283
O5 0.7042 0.0198 0.1455
O6 0.9802 0.2958 0.8545



(3)
Here is a geometry-optimized PAu2O2 structure from Alexandria via LeMat-Bulk. Energies are from PBE.

Output
total energy	-3.7660	eV/atom
raw formation energy	610	meV per atom

Cell lengths 6.8479, 6.8479, 2.8699 Å; angles 90.00, 90.00, 90.00 degrees
Fractional positions:
P1 0.0000 0.0000 0.0000
P2 0.5000 0.5000 0.0000
Au1 0.1558 0.3442 0.0000
Au2 0.3442 0.8442 0.0000
Au3 0.6558 0.1558 0.0000
Au4 0.8442 0.6558 0.0000
O1 0.1488 0.6488 0.5000
O2 0.3512 0.1488 0.5000
O3 0.6488 0.8512 0.5000
O4 0.8512 0.3512 0.5000



(4)
Here is a geometry-optimized PmAl2SiRu2 structure from Alexandria via LeMat-Bulk. Energies are from PBE.

Output
total energy	-6.5081	eV/atom
raw formation energy	-473	meV per atom

Cell lengths 4.4266, 4.4266, 5.7344 Å; angles 90.00, 90.00, 90.00 degrees
Fractional positions:
Pm1 0.0000 0.0000 0.0000
Al1 0.5000 0.5000 0.2395
Al2 0.5000 0.5000 0.7605
Si1 0.0000 0.0000 0.5000
Ru1 0.0000 0.5000 0.5000
Ru2 0.5000 0.0000 0.5000



Copy entry 2 word for word.
Here is a geometry-optimized NpCu2Hg2O6 structure from Alexandria via LeMat-Bulk. Energies are from PBE.

Output
total energy	-5.8067	eV/atom
raw formation energy	-1126	meV per atom

Cell lengths 5.4463, 5.4463, 7.2977 Å; angles 97.50, 97.50, 121.03 degrees
Fractional positions:
Np1 0.0000 0.0000 0.0000
Cu1 0.3348 0.6652 0.0000
Cu2 0.6652 0.3348 0.0000
Hg1 0.2807 0.7193 0.5000
Hg2 0.7193 0.2807 0.5000
O1 0.0198 0.7042 0.1455
O2 0.2958 0.9802 0.8545
O3 0.3565 0.3565 0.1717
O4 0.6435 0.6435 0.8283
O5 0.7042 0.0198 0.1455
O6 0.9802 0.2958 0.8545